Record 1
ThPa2N: relaxed, PBE.

abc: 3.1032 3.1032 8.6661
angles: 90.00 90.00 90.00
Closest atoms and distances in Å follow each position.
Sites, in units of the cell vectors:
Th 0.0000 0.0000 0.0000  4 Th 3.10
Pa 0.5000 0.5000 0.3286  4 N 2.65
Pa 0.5000 0.5000 0.6714  4 N 2.65
N 0.0000 0.0000 0.5000  8 Pa 2.65

Calculated values
* E_form (uncorrected): -104 meV/atom
* calculated total energy: -8.789 eV/atom
* magnetic moment: 0.0 μB per cell

---

Record 2
MnTlHg2: relaxed, PBE.

abc: 4.3402 4.3402 4.8742
angles: 90.00 90.00 90.00
Closest atoms and distances in Å follow each position.
Sites, in units of the cell vectors:
Mn 0.0000 0.0000 0.0000  4 Tl 3.07, 8 Hg 3.26
Tl 0.5000 0.5000 0.0000  4 Mn 3.07, 8 Hg 3.26
Hg 0.0000 0.5000 0.5000  4 Hg 3.07, 4 Tl 3.26, 4 Mn 3.26
Hg 0.5000 0.0000 0.5000  4 Hg 3.07, 4 Tl 3.26, 4 Mn 3.26

Calculated values
* calculated total energy: -2.704 eV/atom
* formation energy from the elements: 0.33 eV/atom
* magnetic moment: 4.1 μB per cell

---

> The lowest calculated total energy belongs to which entry?

ThPa2N

---

> Which formula does entry 1 have?

ThPa2N

---

> Look up the magnetic moment of the first one.

0.0 μB per cell

---

> Number 2 is which compound?

MnTlHg2